1.
GaGeB: relaxed, PBE.

The structure in POSCAR format:
```
GaGeB
1.0
3.551 0.000 0.000
0.000 3.088 4.513
0.000 -3.088 4.513
Ga Ge B
2 2 2
direct
0.000 0.207 0.793 Ga
0.000 0.793 0.207 Ga
0.500 0.529 0.926 Ge
0.500 0.926 0.529 Ge
0.000 0.142 0.413 B
0.000 0.413 0.142 B
```

Summary:
total magnetic moment: 0.00 μB/f.u.
energy of formation from the pure elements: 1.0 eV per formula unit
final energy: -4.44 eV per atom
offset from the most stable computed form: 0.118 eV/atom

---

2.
GaGeB: relaxed, PBE.

The structure in POSCAR format:
```
GaGeB
1.0
3.425 0.000 0.000
-1.256 5.425 0.000
-1.433 -0.412 5.440
Ga Ge B
2 2 2
direct
0.202 0.223 0.219 Ga
0.798 0.777 0.781 Ga
0.014 0.245 0.753 Ge
0.986 0.755 0.247 Ge
0.494 0.606 0.396 B
0.506 0.394 0.604 B
```

Summary:
total magnetic moment: 0.00 μB/f.u.
energy of formation from the pure elements: 1.0 eV per formula unit
final energy: -4.43 eV per atom
offset from the most stable computed form: 0.120 eV/atom

---

Please write out number 2 again, unchanged.
GaGeB: relaxed, PBE.

The structure in POSCAR format:
```
GaGeB
1.0
3.425 0.000 0.000
-1.256 5.425 0.000
-1.433 -0.412 5.440
Ga Ge B
2 2 2
direct
0.202 0.223 0.219 Ga
0.798 0.777 0.781 Ga
0.014 0.245 0.753 Ge
0.986 0.755 0.247 Ge
0.494 0.606 0.396 B
0.506 0.394 0.604 B
```

Summary:
total magnetic moment: 0.00 μB/f.u.
energy of formation from the pure elements: 1.0 eV per formula unit
final energy: -4.43 eV per atom
offset from the most stable computed form: 0.120 eV/atom

---

> Which value of offset from the most stable computed form does entry 2 give?

0.120 eV/atom

---

> Look up the energy of formation from the pure elements of the first one.

1.0 eV per formula unit

---

Please write out number 2 again, unchanged.
GaGeB: relaxed, PBE.

The structure in POSCAR format:
```
GaGeB
1.0
3.425 0.000 0.000
-1.256 5.425 0.000
-1.433 -0.412 5.440
Ga Ge B
2 2 2
direct
0.202 0.223 0.219 Ga
0.798 0.777 0.781 Ga
0.014 0.245 0.753 Ge
0.986 0.755 0.247 Ge
0.494 0.606 0.396 B
0.506 0.394 0.604 B
```

Summary:
total magnetic moment: 0.00 μB/f.u.
energy of formation from the pure elements: 1.0 eV per formula unit
final energy: -4.43 eV per atom
offset from the most stable computed form: 0.120 eV/atom